Entry from Alexandria: a relaxed Sr3MgCu2O6 crystal (GGA-PBE).

Properties
Its uncorrected formation energy is -1.77 eV per atom. Its density of states at the Fermi level is 4.22 states/eV/f.u.

a b c (Å): 5.8209 5.8209 6.3925
angles (deg): 90.00 90.00 120.00
Space group P-3m1 (No. 164)
One atom of each set of equivalent atoms:
1 Sr 0.0000 0.0000 0.0000
2 Sr 0.3333 0.6667 0.6405
3 Mg 0.0000 0.0000 0.5000
4 Cu 0.3333 0.6667 0.1930
5 O 0.1620 0.3241 0.2989



Entry from Alexandria: a relaxed SrMg2CuO crystal (GGA-PBE).

Properties
Its uncorrected formation energy is 0.40 eV per atom. Its density of states at the Fermi level is 3.33 states/eV/f.u.

a b c (Å): 6.436 6.436 4.300
angles (deg): 90.00 90.00 90.00
Space group P4/mmm (No. 123)
One atom of each set of equivalent atoms:
1 Sr 0.000 0.000 0.000
2 Mg 0.000 0.500 0.000
3 Cu 0.500 0.500 0.500
4 O 0.000 0.000 0.500



Entry from Alexandria: a relaxed Sr2MgCu3O6 crystal (GGA-PBE).

Properties
Its uncorrected formation energy is -1.58 eV per atom. Its density of states at the Fermi level is 7.13 states/eV/f.u.

a b c (Å): 3.725 3.725 11.578
angles (deg): 90.00 90.00 90.00
Space group P4/mmm (No. 123)
One atom of each set of equivalent atoms:
1 Sr 0.000 0.000 0.207
2 Mg 0.000 0.000 0.500
3 Cu 0.500 0.500 0.000
4 Cu 0.500 0.500 0.364
5 O 0.000 0.500 0.381
6 O 0.500 0.500 0.156



Entry from Alexandria: a relaxed Mg2TaCuO6 crystal (GGA-PBE).

Properties
Its uncorrected formation energy is -2.10 eV per atom. Its density of states at the Fermi level is 0.35 states/eV/f.u.

a b c (Å): 5.406 7.329 5.651
angles (deg): 90.00 101.87 90.00
Space group P2_1/m (No. 11)
One atom of each set of equivalent atoms:
1 Mg 0.022 0.250 0.061
2 Mg 0.454 0.750 0.434
3 Ta 0.500 0.000 0.000
4 Cu 0.000 0.000 0.500
5 O 0.123 0.250 0.431
6 O 0.216 0.572 0.143
7 O 0.325 0.557 0.657
8 O 0.354 0.250 0.952



Entry from Alexandria: a relaxed Tb2MgCuO5 crystal (GGA-PBE).

Properties
Its uncorrected formation energy is -2.31 eV per atom.

a b c (Å): 6.398 6.398 5.620
angles (deg): 90.00 90.00 90.00
Space group P4/mbm (No. 127)
One atom of each set of equivalent atoms:
1 Tb 0.171 0.329 0.000
2 Mg 0.000 0.000 0.500
3 Cu 0.000 0.500 0.500
4 O 0.000 0.000 0.000
5 O 0.148 0.648 0.261



Entry from Alexandria: a relaxed MgCuTc2O8 crystal (GGA-PBE).

Properties
Its uncorrected formation energy is -1.38 eV per atom. Its density of states at the Fermi level is 4.90 states/eV/f.u.

a b c (Å): 6.270 6.270 8.300
angles (deg): 90.00 90.00 90.00
Space group I-4m2 (No. 119)
One atom of each set of equivalent atoms:
1 Mg 0.000 0.000 0.000
2 Cu 0.000 0.500 0.750
3 Tc 0.000 0.000 0.500
4 Tc 0.000 0.500 0.250
5 O 0.000 0.230 0.623
6 O 0.000 0.267 0.127



Entry from Alexandria: a relaxed Mg2CuTeO6 crystal (GGA-PBE).

Properties
Its uncorrected formation energy is -1.60 eV per atom.

a b c (Å): 5.079 5.281 5.400
angles (deg): 63.89 89.60 62.22
Space group P1 (No. 1)
One atom of each set of equivalent atoms:
1 Mg 0.000 0.000 0.000
2 Mg 0.466 0.038 0.468
3 Cu 0.256 0.464 0.847
4 Te 0.772 0.437 0.381
5 O 0.049 0.268 0.162
6 O 0.155 0.260 0.661
7 O 0.396 0.538 0.160
8 O 0.545 0.567 0.644
9 O 0.702 0.874 0.190
10 O 0.844 0.998 0.637



Entry from Alexandria: a relaxed MgCu2Te2O8 crystal (GGA-PBE).

Properties
Its uncorrected formation energy is -1.05 eV per atom. Its density of states at the Fermi level is 0.06 states/eV/f.u.

a b c (Å): 6.306 8.721 13.294
angles (deg): 90.00 90.16 90.00
Space group P2_1/c (No. 14)
One atom of each set of equivalent atoms:
1 Mg 0.118 0.155 0.454
2 Cu 0.243 0.682 0.891
3 Cu 0.388 0.075 0.884
4 Te 0.053 0.052 0.159
5 Te 0.363 0.597 0.137
6 O 0.054 0.250 0.096
7 O 0.078 0.052 0.299
8 O 0.087 0.132 0.885
9 O 0.191 0.560 0.016
10 O 0.266 0.613 0.337
11 O 0.312 0.519 0.607
12 O 0.425 0.214 0.432
13 O 0.492 0.095 0.654



Entry from Alexandria: a relaxed MgCuTeO6 crystal (GGA-PBE).

Properties
Its uncorrected formation energy is -1.04 eV per atom. Its density of states at the Fermi level is 5.05 states/eV/f.u.

a b c (Å): 4.660 4.660 9.131
angles (deg): 90.00 90.00 90.00
Space group P4_2nm (No. 102)
One atom of each set of equivalent atoms:
1 Mg 0.000 0.000 0.000
2 Cu 0.000 0.000 0.331
3 Te 0.000 0.000 0.666
4 O 0.185 0.185 0.498
5 O 0.194 0.194 0.824
6 O 0.200 0.200 0.168



Entry from Alexandria: a relaxed MgCu2TeO6 crystal (GGA-PBE).

Properties
Its uncorrected formation energy is -1.06 eV per atom. Its density of states at the Fermi level is 3.15 states/eV/f.u.

a b c (Å): 9.936 8.835 5.539
angles (deg): 90.00 100.09 90.00
Space group C2/c (No. 15)
One atom of each set of equivalent atoms:
1 Mg 0.000 0.093 0.250
2 Cu 0.241 0.423 0.055
3 Te 0.000 0.267 0.750
4 O 0.108 0.236 0.076
5 O 0.112 0.093 0.645
6 O 0.138 0.420 0.720



Entry from Alexandria: a relaxed Mg6TiCuO8 crystal (GGA-PBE).

Properties
Its uncorrected formation energy is -2.40 eV per atom. Its density of states at the Fermi level is 5.07 states/eV/f.u.

a b c (Å): 4.237 4.237 8.826
angles (deg): 90.00 90.00 90.00
Space group P4/mmm (No. 123)
One atom of each set of equivalent atoms:
1 Mg 0.000 0.000 0.000
2 Mg 0.000 0.000 0.500
3 Mg 0.000 0.500 0.239
4 Ti 0.500 0.500 0.500
5 Cu 0.500 0.500 0.000
6 O 0.000 0.000 0.250
7 O 0.000 0.500 0.000
8 O 0.000 0.500 0.500
9 O 0.500 0.500 0.271



Entry from Alexandria: a relaxed Mg2TiCuO crystal (GGA-PBE).

Properties
Its uncorrected formation energy is 0.48 eV per atom. Its density of states at the Fermi level is 3.32 states/eV/f.u.

a b c (Å): 4.672 4.672 4.557
angles (deg): 90.00 90.00 90.00
Space group P4/mmm (No. 123)
One atom of each set of equivalent atoms:
1 Mg 0.000 0.500 0.000
2 Ti 0.000 0.000 0.500
3 Cu 0.000 0.000 0.000
4 O 0.500 0.500 0.500



Entry from Alexandria: a relaxed Mg6TiCuO8 crystal (GGA-PBE).

Properties
Its uncorrected formation energy is -2.40 eV per atom. Its density of states at the Fermi level is 3.40 states/eV/f.u.

a b c (Å): 4.229 4.229 8.785
angles (deg): 90.00 90.00 90.00
Space group P4/mmm (No. 123)
One atom of each set of equivalent atoms:
1 Mg 0.000 0.000 0.000
2 Mg 0.000 0.500 0.247
3 Mg 0.500 0.500 0.000
4 Ti 0.000 0.000 0.500
5 Cu 0.500 0.500 0.500
6 O 0.000 0.000 0.253
7 O 0.000 0.500 0.000
8 O 0.000 0.500 0.500
9 O 0.500 0.500 0.234